The following is a PBE calculation of a relaxed Tb12CeTm2 crystal, from Alexandria via LeMat-Bulk.

Output
As for the space group: P2/m, No. 10. Its energy of formation from the pure elements is 126 meV/atom. The value obtained for the total magnetization is 3.0 Bohr magnetons per cell.

Cell lengths 6.6234, 6.6234, 24.8105 Å; angles 96.65, 96.65, 115.11 degrees
With the nearest neighbours (Å) after each atom.
Sites, in units of the cell vectors:
Tb: 0.5994 0.5994 0.7990  3 Tb 3.10-3.20
Tb: 0.0994 0.0994 0.7990  3 Tb 3.10-3.20
Tb: 0.9455 0.9455 0.9273  9 Tb 3.52-3.66, 4 Ce 3.75
Tb: 0.3979 0.8979 0.8630  4 Tb 3.20-3.55, 1 Ce 3.32
Tb: 0.9953 0.9953 0.3288  3 Tb 3.10-3.31
Tb: 0.1021 0.6021 0.1370  4 Tb 3.20-3.55, 1 Ce 3.32
Tb: 0.6838 0.1838 0.5761  8 Tb 3.35-3.62
Tb: 0.4953 0.4953 0.3288  3 Tb 3.10-3.31
Tb: 0.4455 0.4455 0.9273  9 Tb 3.52-3.66, 4 Ce 3.75
Tb: 0.5545 0.5545 0.0727  9 Tb 3.52-3.66, 4 Ce 3.75
Tb: 0.1684 0.1684 0.5558  10 Tb 3.23-3.55
Tb: 0.8162 0.3162 0.4239  8 Tb 3.35-3.62
Tb: 0.0047 0.0047 0.6712  3 Tb 3.10-3.31
Tb: 0.3316 0.3316 0.4442  10 Tb 3.23-3.55
Tb: 0.0545 0.0545 0.0727  9 Tb 3.52-3.66, 4 Ce 3.75
Tb: 0.8316 0.8316 0.4442  10 Tb 3.23-3.55
Tb: 0.6684 0.6684 0.5558  10 Tb 3.23-3.55
Tb: 0.9006 0.9006 0.2010  3 Tb 3.10-3.20
Tb: 0.1838 0.6838 0.5761  8 Tb 3.35-3.62
Tb: 0.5047 0.5047 0.6712  3 Tb 3.10-3.31
Tb: 0.8979 0.3979 0.8630  4 Tb 3.20-3.55, 1 Ce 3.32
Tb: 0.4006 0.4006 0.2010  3 Tb 3.10-3.20
Tb: 0.3162 0.8162 0.4239  8 Tb 3.35-3.62
Tb: 0.6021 0.1021 0.1370  4 Tb 3.20-3.55, 1 Ce 3.32
Ce: 0.5000 0.0000 0.0000  2 Tb 3.32, 2 Ce 3.55
Ce: 0.0000 0.5000 0.0000  2 Tb 3.32, 2 Ce 3.55
Tm: 0.4521 0.9521 0.2706  2 Tm 3.55, 10 Tb 3.60-3.72
Tm: 0.9521 0.4521 0.2706  2 Tm 3.55, 10 Tb 3.60-3.72
Tm: 0.0479 0.5479 0.7294  2 Tm 3.55, 10 Tb 3.60-3.72
Tm: 0.5479 0.0479 0.7294  2 Tm 3.55, 10 Tb 3.60-3.72

***

The following is a PBE calculation of a relaxed CsFeAg2Br crystal, from Alexandria via LeMat-Bulk.

Output
The value obtained for the energy relative to the elements, uncorrected is 736 kJ/mol of formula units. As for the space group: P4/mmm, No. 123. The value obtained for the total magnetization is 3.9 Bohr magnetons per cell.

Cell lengths 6.1521, 6.3456, 6.1521 Å; angles 90.00, 90.00, 90.00 degrees
With the nearest neighbours (Å) after each atom.
Sites, in units of the cell vectors:
Cs: 0.0000 0.0000 0.0000  4 Ag 3.08, 2 Fe 3.17
Br: 0.5000 0.5000 0.5000  4 Fe 4.35, 8 Ag 4.42
Ag: 0.0000 0.0000 0.5000  2 Cs 3.08
Ag: 0.5000 0.0000 0.0000  2 Cs 3.08
Fe: 0.0000 0.5000 0.0000  2 Cs 3.17

***

The following is a PBE calculation of a relaxed YCo2Ni crystal, from Alexandria via LeMat-Bulk.

Output
As for the space group: R-3m, No. 166. Its energy of formation from the pure elements is -94 meV/atom. The value obtained for the total magnetization is 2.7 Bohr magnetons per cell.

Cell lengths 4.0479, 4.0479, 5.2035 Å; angles 67.18, 67.18, 59.97 degrees
With the nearest neighbours (Å) after each atom.
Sites, in units of the cell vectors:
Co: 0.0600 0.0600 0.8199  3 Ni 2.36, 3 Co 2.42-2.43
Co: 0.4400 0.4400 0.6801  3 Ni 2.36, 3 Co 2.42-2.43
Ni: 0.7500 0.7500 0.7500  6 Co 2.36
Y: 0.2500 0.2500 0.2500  2 Co 2.65

***

The following is a PBE calculation of a relaxed Sm2Ga4Ni3Rh crystal, from Alexandria via LeMat-Bulk.

Output
As for the space group: P-4m2, No. 115. Its energy of formation from the pure elements is -635 meV/atom. The value obtained for the total magnetization is 0.0 Bohr magnetons per cell.

Cell lengths 4.1601, 4.1601, 9.9344 Å; angles 90.00, 90.00, 90.00 degrees
With the nearest neighbours (Å) after each atom.
Sites, in units of the cell vectors:
Sm: 0.5000 0.0000 0.2478  8 Ga 3.17-3.22, 6 Ni 3.18-3.26, 2 Rh 3.26
Sm: 0.0000 0.5000 0.7522  8 Ga 3.17-3.22, 6 Ni 3.18-3.26, 2 Rh 3.26
Ga: 0.5000 0.5000 0.0000  4 Ni 2.43
Ga: 0.0000 0.0000 0.0000  4 Ni 2.43
Ga: 0.5000 0.0000 0.6343  3 Ni 2.37-2.47, 2 Rh 2.47
Ga: 0.0000 0.5000 0.3657  3 Ni 2.37-2.47, 2 Rh 2.47
Ni: 0.0000 0.0000 0.5000  4 Ga 2.47
Ni: 0.5000 0.0000 0.8728  5 Ga 2.37-2.43
Ni: 0.0000 0.5000 0.1272  5 Ga 2.37-2.43
Rh: 0.5000 0.5000 0.5000  4 Ga 2.47

***

The following is a PBE calculation of a relaxed ZrTlV2 crystal, from Alexandria via LeMat-Bulk.

Output
The calculation puts the distance to the lowest polymorph of the same formula at 475 meV/atom. As for the space group: I-42d, No. 122. Its energy of formation from the pure elements is 851 meV/atom. The value obtained for the total magnetization is 0.0 Bohr magnetons per cell.

Cell lengths 7.4390, 7.4390, 5.9780 Å; angles 51.52, 51.52, 90.00 degrees
With the nearest neighbours (Å) after each atom.
Sites, in units of the cell vectors:
Tl: 0.0000 0.0000 0.0000  4 V 2.73, 2 Zr 2.84
Tl: 0.7500 0.2500 0.5000  4 V 2.73, 2 Zr 2.84
Zr: 0.5000 0.5000 0.0000  4 V 2.72, 2 Tl 2.84
Zr: 0.2500 0.7500 0.5000  4 V 2.72, 2 Tl 2.84
V: 0.6248 0.1250 0.2500  2 Zr 2.72, 2 Tl 2.73, 2 V 2.84
V: 0.1252 0.6250 0.2500  2 Zr 2.72, 2 Tl 2.73, 2 V 2.84
V: 0.3750 0.3752 0.7500  2 Zr 2.72, 2 Tl 2.73, 2 V 2.84
V: 0.8750 0.8748 0.7500  2 Zr 2.72, 2 Tl 2.73, 2 V 2.84

***

The following is a PBE calculation of a relaxed Nb3Cu3C crystal, from Alexandria via LeMat-Bulk.

Output
As for the space group: Fd-3m, No. 227. Its energy of formation from the pure elements is -187 meV/atom. The value obtained for the total magnetization is 0.0 Bohr magnetons per cell.

Cell lengths 8.2125, 8.2125, 8.2125 Å; angles 60.00, 60.00, 60.00 degrees
With the nearest neighbours (Å) after each atom.
Sites, in units of the cell vectors:
Nb: 0.0672 0.4328 0.0672  2 C 2.16
Nb: 0.1828 0.1828 0.8172  2 C 2.16
Nb: 0.8172 0.8172 0.1828  2 C 2.16
Nb: 0.8172 0.1828 0.8172  2 C 2.16
Nb: 0.8172 0.1828 0.1828  2 C 2.16
Nb: 0.1828 0.8172 0.8172  2 C 2.16
Nb: 0.4328 0.0672 0.0672  2 C 2.16
Nb: 0.0672 0.0672 0.4328  2 C 2.16
Nb: 0.4328 0.4328 0.0672  2 C 2.16
Nb: 0.0672 0.4328 0.4328  2 C 2.16
Nb: 0.1828 0.8172 0.1828  2 C 2.16
Nb: 0.4328 0.0672 0.4328  2 C 2.16
Cu: 0.8311 0.8311 0.8311  6 Cu 2.50-2.67, 3 Nb 2.78
Cu: 0.4189 0.4189 0.7434  6 Cu 2.50-2.67, 3 Nb 2.78
Cu: 0.4189 0.7434 0.4189  6 Cu 2.50-2.67, 3 Nb 2.78
Cu: 0.7434 0.4189 0.4189  6 Cu 2.50-2.67, 3 Nb 2.78
Cu: 0.8311 0.5066 0.8311  6 Cu 2.50-2.67, 3 Nb 2.78
Cu: 0.5066 0.8311 0.8311  6 Cu 2.50-2.67, 3 Nb 2.78
Cu: 0.8311 0.8311 0.5066  6 Cu 2.50-2.67, 3 Nb 2.78
Cu: 0.4189 0.4189 0.4189  6 Cu 2.50-2.67, 3 Nb 2.78
Cu: 0.6250 0.6250 0.6250  6 Cu 2.50
Cu: 0.6250 0.6250 0.1250  6 Cu 2.50
Cu: 0.6250 0.1250 0.6250  6 Cu 2.50
Cu: 0.1250 0.6250 0.6250  6 Cu 2.50
C: 0.1250 0.1250 0.1250  6 Nb 2.16
C: 0.1250 0.1250 0.6250  6 Nb 2.16
C: 0.1250 0.6250 0.1250  6 Nb 2.16
C: 0.6250 0.1250 0.1250  6 Nb 2.16

***

no.,mass density (g/cm3)
1,8.2
2,3.3
3,6.7
4,8.3
5,8.4
6,8.2